[1]
Density functional theory data (PBE with a Hubbard U) for an optimized crystal structure of Zr3MnF6.

Calculated values
Its crystal system is triclinic. The value obtained for the density of states at the Fermi level is 4.01 states/eV per cell. For the energy above the most stable polymorph in this dataset, the calculation gives 103 meV/atom.

Cell: 6.1172 6.1300 6.7270 Å, 64.65 72.65 63.96°
Last column: nearest neighbours and their distance in Å.
Space group P-1 (No. 2)
Symmetry-distinct sites (fractional):
Zr1 0.0000 0.0000 0.0000  2 F 2.09
Zr2 0.0000 0.5000 0.0000  2 F 2.18
Zr3 0.5000 0.0000 0.0000  4 F 2.09-2.26
Mn1 0.5000 0.0000 0.5000  6 F 2.11-2.35
F1 0.1315 0.0869 0.6606  1 Zr 2.09, 1 Mn 2.13
F2 0.3213 0.2922 0.1752  2 Zr 2.18-2.26, 1 Mn 2.35
F3 0.4679 0.7872 0.3404  1 Zr 2.09, 1 Mn 2.11


[2]
Density functional theory data (PBE with a Hubbard U) for an optimized crystal structure of Zr3MnF.

Calculated values
Its crystal system is cubic. The value obtained for the density of states at the Fermi level is 1.28 states/eV per cell. For the energy above the most stable polymorph in this dataset, the calculation gives 1204 meV/atom.

Cell: 4.8555 4.8555 4.8555 Å, 90.00 90.00 90.00°
Last column: nearest neighbours and their distance in Å.
Space group Pm-3m (No. 221)
Symmetry-distinct sites (fractional):
Zr1 0.0000 0.0000 0.5000  2 Mn 2.43
Mn1 0.0000 0.0000 0.0000  6 Zr 2.43
F1 0.5000 0.5000 0.5000  12 Zr 3.43


[3]
Density functional theory data (PBE with a Hubbard U) for an optimized crystal structure of ZrMnF2.

Calculated values
Its crystal system is tetragonal. The value obtained for the density of states at the Fermi level is 7.21 states/eV per cell. For the energy above the most stable polymorph in this dataset, the calculation gives 409 meV/atom.

Cell: 5.2534 5.2534 10.1045 Å, 90.00 90.00 90.00°
Last column: nearest neighbours and their distance in Å.
Space group I-42d (No. 122)
Symmetry-distinct sites (fractional):
Zr1 0.0000 0.0000 0.0000  4 F 2.30
Mn1 0.0000 0.0000 0.5000  4 F 2.19
F1 0.2323 0.2500 0.6250  2 Mn 2.19, 2 Zr 2.30


[4]
Density functional theory data (PBE with a Hubbard U) for an optimized crystal structure of ZrMnF2.

Calculated values
Its crystal system is trigonal. The value obtained for the density of states at the Fermi level is 4.31 states/eV per cell. For the energy above the most stable polymorph in this dataset, the calculation gives 125 meV/atom.

Cell: 3.5228 3.5228 18.3941 Å, 90.00 90.00 120.00°
Last column: nearest neighbours and their distance in Å.
Space group R-3m (No. 166, hexagonal axes)
Symmetry-distinct sites (fractional):
Zr1 0.0000 0.0000 0.0000  2 F 2.23
Mn1 0.0000 0.0000 0.5000  6 F 2.20
F1 0.0000 0.0000 0.1214  3 Mn 2.20, 1 Zr 2.23


[5]
Density functional theory data (PBE with a Hubbard U) for an optimized crystal structure of Zr3MnF6.

Calculated values
Its crystal system is monoclinic. The value obtained for the density of states at the Fermi level is 8.40 states/eV per cell. For the energy above the most stable polymorph in this dataset, the calculation gives 0 meV/atom.

Cell: 10.9056 6.3205 7.6722 Å, 90.00 118.32 90.00°
Last column: nearest neighbours and their distance in Å.
Space group C2/m (No. 12)
Symmetry-distinct sites (fractional):
Zr1 0.0000 0.0000 0.0000  2 F 2.04
Zr2 0.2500 0.2500 0.0000  2 F 2.04
Mn1 0.0000 0.0000 0.5000  6 F 2.15
F1 0.0874 0.0000 0.3008  1 Zr 2.04, 1 Mn 2.15
F2 0.1434 0.2299 0.6993  1 Zr 2.04, 1 Mn 2.15


[6]
Density functional theory data (PBE with a Hubbard U) for an optimized crystal structure of ZrMnF2.

Calculated values
Its crystal system is trigonal. The value obtained for the density of states at the Fermi level is 4.83 states/eV per cell. For the energy above the most stable polymorph in this dataset, the calculation gives 0 meV/atom.

Cell: 2.9999 2.9999 25.2870 Å, 90.00 90.00 120.00°
Last column: nearest neighbours and their distance in Å.
Space group R-3m (No. 166, hexagonal axes)
Symmetry-distinct sites (fractional):
Zr1 0.0000 0.0000 0.0000  6 F 2.33
Mn1 0.0000 0.0000 0.5000  2 F 2.65
F1 0.0000 0.0000 0.3952  3 Zr 2.33


[7]
Density functional theory data (PBE with a Hubbard U) for an optimized crystal structure of MoF5.

Calculated values
Its crystal system is monoclinic. The value obtained for the density of states at the Fermi level is 0.00 states/eV per cell. For the energy above the most stable polymorph in this dataset, the calculation gives 49 meV/atom.

Cell: 9.1382 6.1579 7.9181 Å, 90.00 115.43 90.00°
Last column: nearest neighbours and their distance in Å.
Space group C2/c (No. 15)
Symmetry-distinct sites (fractional):
Mo1 0.0000 0.0000 0.0000  6 F 1.88-2.05
F1 0.0000 0.0875 0.2500  2 Mo 2.05
F2 0.0621 0.2832 0.9680  1 Mo 1.88
F3 0.2157 0.0948 0.6284  1 Mo 1.88


[8]
Density functional theory data (PBE with a Hubbard U) for an optimized crystal structure of MoF5.

Calculated values
Its crystal system is hexagonal. The value obtained for the density of states at the Fermi level is 13.59 states/eV per cell. For the energy above the most stable polymorph in this dataset, the calculation gives 188 meV/atom.

Cell: 6.0037 6.0037 6.8875 Å, 90.00 90.00 120.00°
Last column: nearest neighbours and their distance in Å.
Space group P6_3/mmc (No. 194)
Symmetry-distinct sites (fractional):
Mo1 0.3333 0.6667 0.2500  5 F 1.85-1.93
F1 0.1554 0.3108 0.2500  1 Mo 1.85
F2 0.3333 0.6667 0.5297  1 Mo 1.93